Record 1
AcDyBi2 after structural relaxation, computed with PBE-GGA.

abc: 5.718 5.718 5.718
angles: 60.00 60.00 60.00
Atoms (fractional coordinates):
Ac: 0.000 0.000 0.000
Dy: 0.500 0.500 0.500
Bi: 0.250 0.250 0.250
Bi: 0.750 0.750 0.750

DFT formation energy (eV/atom): -0.658
Volume (Å³/cell): 132
Calculated density (g cm⁻³): 10.14

***

Record 2
Sr2PdI after structural relaxation, computed with PBE-GGA.

abc: 8.774 8.774 8.774
angles: 29.38 29.38 29.38
Atoms (fractional coordinates):
Sr: 0.000 0.000 0.000
Sr: 0.201 0.201 0.201
Pd: 0.600 0.600 0.600
I: 0.433 0.433 0.433

Volume (Å³/cell): 144
Calculated density (g cm⁻³): 4.72
Energy relative to the elements, uncorrected (eV per atom): -0.94

***

Record 3
Tm6SiP2S3 after structural relaxation, computed with PBE-GGA.

abc: 8.786 8.786 7.849
angles: 102.85 102.85 25.86
Atoms (fractional coordinates):
Tm: 0.001 0.001 0.247
Tm: 0.331 0.331 0.422
Tm: 0.335 0.335 0.912
Tm: 0.665 0.665 0.088
Tm: 0.669 0.669 0.578
Tm: 0.999 0.999 0.753
Si: 0.500 0.500 0.000
P: 0.167 0.167 0.335
P: 0.833 0.833 0.665
S: 0.168 0.168 0.832
S: 0.500 0.500 0.500
S: 0.832 0.832 0.168

Volume (Å³/cell): 257
Calculated density (g cm⁻³): 7.74
Energy relative to the elements, uncorrected (eV per atom): -1.68

***

Record 4
Ta2BePt after structural relaxation, computed with PBE-GGA.

abc: 2.802 2.802 7.623
angles: 90.00 90.00 90.00
Atoms (fractional coordinates):
Ta: 0.000 0.000 0.225
Ta: 0.000 0.000 0.775
Be: 0.500 0.500 0.000
Pt: 0.500 0.500 0.500

DFT formation energy (eV/atom): -0.337
Volume (Å³/cell): 60
Calculated density (g cm⁻³): 15.70

***

- Which of these has the lowest volume?
  Ta2BePt

***

Repeat the fourth record exactly.
Ta2BePt after structural relaxation, computed with PBE-GGA.

abc: 2.802 2.802 7.623
angles: 90.00 90.00 90.00
Atoms (fractional coordinates):
Ta: 0.000 0.000 0.225
Ta: 0.000 0.000 0.775
Be: 0.500 0.500 0.000
Pt: 0.500 0.500 0.500

DFT formation energy (eV/atom): -0.337
Volume (Å³/cell): 60
Calculated density (g cm⁻³): 15.70

***

- calculated density of number 3 (Tm6SiP2S3)?
  7.74 g cm⁻³

***

- What is the volume in the first record?
  132 Å³/cell